{
  "formula": "Ca2BeWN4",
  "functional": "PBE-GGA",
  "state": "relaxed",
  "e_form_raw_ev_per_atom": -0.917,
  "spacegroup": "Pmn2_1, No. 31",
  "e_tot_ry_per_atom": -0.563,
  "lattice": [[6.608, 0.000, 0.000], [0.000, 5.830, 0.000], [0.000, 0.000, 5.590]],
  "species": ["Ca", "Ca", "Ca", "Ca", "Be", "Be", "W", "W", "N", "N", "N", "N", "N", "N", "N", "N"],
  "frac_coords": [[0.249, 0.248, 0.000], [0.251, 0.752, 0.500], [0.749, 0.752, 0.500], [0.751, 0.248, 0.000], [0.000, 0.807, 0.990], [0.500, 0.193, 0.490], [0.000, 0.195, 0.490], [0.500, 0.805, 0.990], [0.000, 0.008, 0.762], [0.000, 0.983, 0.241], [0.248, 0.650, 0.974], [0.252, 0.350, 0.474], [0.500, 0.017, 0.741], [0.500, 0.992, 0.262], [0.748, 0.350, 0.474], [0.752, 0.650, 0.974]]
}

{
  "formula": "CaTh2Au4",
  "functional": "PBE-GGA",
  "state": "relaxed",
  "formation_enthalpy_0k_kcal_per_mol_atoms": -12.47,
  "spacegroup": "R-3m, No. 166",
  "e_tot_ry_per_atom": -0.354,
  "lattice": [[2.537, 1.465, 8.359], [-2.537, 1.465, 8.359], [0.000, -2.930, 8.359]],
  "species": ["Ca", "Th", "Th", "Au", "Au", "Au", "Au"],
  "frac_coords": [[0.000, 0.000, 0.000], [0.242, 0.242, 0.242], [0.758, 0.758, 0.758], [0.121, 0.121, 0.121], [0.370, 0.370, 0.370], [0.630, 0.630, 0.630], [0.879, 0.879, 0.879]]
}